# Tb5Tm4Sc | Alexandria via LeMat-Bulk | PBE | relaxed
data_Tb5Tm4Sc
_chemical_formula_sum 'Tb5 Tm4 Sc1'
_cell_length_a 7.9488
_cell_length_b 7.9488
_cell_length_c 7.9488
_cell_angle_alpha 97.44
_cell_angle_beta 97.44
_cell_angle_gamma 137.81
_symmetry_space_group_name_H-M 'P 1'
_symmetry_Int_Tables_number 1
loop_
_symmetry_equiv_pos_as_xyz
'x,y,z'
loop_
_atom_site_label
_atom_site_type_symbol
_atom_site_fract_x
_atom_site_fract_y
_atom_site_fract_z
_atom_site_occupancy
Tb1 Tb 0.0000 0.0000 0.0000 1
Tb2 Tb 0.0984 0.0984 0.6264 1
Tb3 Tb 0.0984 0.4719 0.0000 1
Tb4 Tb 0.4719 0.0984 0.0000 1
Tb5 Tb 0.4719 0.4719 0.3736 1
Tm1 Tm 0.0982 0.7743 0.3239 1
Tm2 Tm 0.4504 0.7743 0.6761 1
Tm3 Tm 0.7743 0.0982 0.3239 1
Tm4 Tm 0.7743 0.4504 0.6761 1
Sc1 Sc 0.5338 0.5338 0.0000 1
# Density of states at the Fermi level = 12.7 states/eV/cell
# ΔE_f = 0.248 eV per atom
# E = -44.891 eV for the cell shown
# SG = I4mm

# TbTm6Sc4 | Alexandria via LeMat-Bulk | PBE | relaxed
data_TbTm6Sc4
_chemical_formula_sum 'Tb1 Tm6 Sc4'
_cell_length_a 9.3592
_cell_length_b 9.3592
_cell_length_c 9.3592
_cell_angle_alpha 140.70
_cell_angle_beta 140.70
_cell_angle_gamma 56.79
_symmetry_space_group_name_H-M 'P 1'
_symmetry_Int_Tables_number 1
loop_
_symmetry_equiv_pos_as_xyz
'x,y,z'
loop_
_atom_site_label
_atom_site_type_symbol
_atom_site_fract_x
_atom_site_fract_y
_atom_site_fract_z
_atom_site_occupancy
Tb1 Tb 0.0000 0.0000 0.0000 1
Tm1 Tm 0.0000 0.5000 0.5000 1
Tm2 Tm 0.0111 0.6354 0.0000 1
Tm3 Tm 0.3646 0.3646 0.3757 1
Tm4 Tm 0.5000 0.0000 0.5000 1
Tm5 Tm 0.6354 0.0111 0.0000 1
Tm6 Tm 0.9889 0.9889 0.6243 1
Sc1 Sc 0.1961 0.1961 0.6489 1
Sc2 Sc 0.4528 0.8039 0.0000 1
Sc3 Sc 0.5472 0.5472 0.3511 1
Sc4 Sc 0.8039 0.4528 0.0000 1
# Density of states at the Fermi level = 15.6 states/eV/cell
# ΔE_f = 0.324 eV per atom
# E = -53.220 eV for the cell shown
# SG = I-42m

# TbTm2Sc | Alexandria via LeMat-Bulk | PBE | relaxed
data_TbTm2Sc
_chemical_formula_sum 'Tb1 Tm2 Sc1'
_cell_length_a 3.4783
_cell_length_b 3.4783
_cell_length_c 11.2970
_cell_angle_alpha 98.85
_cell_angle_beta 98.85
_cell_angle_gamma 60.00
_symmetry_space_group_name_H-M 'P 1'
_symmetry_Int_Tables_number 1
loop_
_symmetry_equiv_pos_as_xyz
'x,y,z'
loop_
_atom_site_label
_atom_site_type_symbol
_atom_site_fract_x
_atom_site_fract_y
_atom_site_fract_z
_atom_site_occupancy
Tb1 Tb 0.0000 0.0000 0.0000 1
Tm1 Tm 0.4187 0.4187 0.2583 1
Tm2 Tm 0.5779 0.5779 0.7375 1
Sc1 Sc 0.1648 0.1648 0.4963 1
# Density of states at the Fermi level = 6.7 states/eV/cell
# ΔE_f = 0.024 eV per atom
# E = -19.808 eV for the cell shown
# SG = Cm

Number 1: mass density 8.0 Mg/m³. Number 2: mass density 6.9 Mg/m³. Number 3: mass density 7.7 Mg/m³.